A plane-wave DFT calculation with PBE was carried out for Nd2SmP3 after structural relaxation.

CIF file:
```
data_Nd2SmP3
_chemical_formula_sum 'Nd2 Sm1 P3'
_symmetry_space_group_name_H-M 'P 1'
_symmetry_Int_Tables_number 1
_cell_length_a 4.153
_cell_length_b 5.864
_cell_length_c 7.181
_cell_angle_alpha 114.10
_cell_angle_beta 106.81
_cell_angle_gamma 90.00
loop_
_symmetry_equiv_pos_as_xyz
'x,y,z'
loop_
_atom_site_label
_atom_site_type_symbol
_atom_site_fract_x
_atom_site_fract_y
_atom_site_fract_z
Nd1 Nd 0.833 0.833 0.166
Nd2 Nd 0.167 0.167 0.834
Sm1 Sm 0.500 0.500 0.500
P1 P 0.835 0.335 0.170
P2 P 0.165 0.665 0.830
P3 P 0.500 0.000 0.500
```

## Properties
DFT formation energy	-149.43	kJ/mol of atoms

***

A plane-wave DFT calculation with PBE was carried out for RbSr3Zr after structural relaxation.

CIF file:
```
data_RbSr3Zr
_chemical_formula_sum 'Rb1 Sr3 Zr1'
_symmetry_space_group_name_H-M 'P 1'
_symmetry_Int_Tables_number 1
_cell_length_a 6.621
_cell_length_b 6.621
_cell_length_c 6.621
_cell_angle_alpha 90.00
_cell_angle_beta 90.00
_cell_angle_gamma 90.00
loop_
_symmetry_equiv_pos_as_xyz
'x,y,z'
loop_
_atom_site_label
_atom_site_type_symbol
_atom_site_fract_x
_atom_site_fract_y
_atom_site_fract_z
Sr1 Sr 0.000 0.500 0.000
Sr2 Sr 0.000 0.000 0.500
Sr3 Sr 0.500 0.000 0.000
Rb1 Rb 0.500 0.500 0.500
Zr1 Zr 0.000 0.000 0.000
```

## Properties
DFT formation energy	63.51	kJ/mol of atoms
energy above the most stable polymorph in this dataset	0	meV per atom

***

A plane-wave DFT calculation with PBE was carried out for Tb2Dy3ThTe6 after structural relaxation.

CIF file:
```
data_Tb2Dy3ThTe6
_chemical_formula_sum 'Tb2 Dy3 Th1 Te6'
_symmetry_space_group_name_H-M 'P 1'
_symmetry_Int_Tables_number 1
_cell_length_a 4.344
_cell_length_b 8.832
_cell_length_c 9.751
_cell_angle_alpha 101.53
_cell_angle_beta 102.87
_cell_angle_gamma 90.00
loop_
_symmetry_equiv_pos_as_xyz
'x,y,z'
loop_
_atom_site_label
_atom_site_type_symbol
_atom_site_fract_x
_atom_site_fract_y
_atom_site_fract_z
Tb1 Tb 0.837 0.669 0.674
Tb2 Tb 0.163 0.331 0.326
Dy1 Dy 0.500 0.500 0.000
Dy2 Dy 0.840 0.163 0.680
Dy3 Dy 0.160 0.837 0.320
Th1 Th 0.500 0.000 0.000
Te1 Te 0.327 0.912 0.654
Te2 Te 0.668 0.587 0.336
Te3 Te 0.673 0.088 0.346
Te4 Te 0.001 0.261 0.002
Te5 Te 0.999 0.739 0.998
Te6 Te 0.332 0.413 0.664
```

## Properties
final energy	-5.35	eV/atom

***

A plane-wave DFT calculation with PBE was carried out for La2VW after structural relaxation.

CIF file:
```
data_La2VW
_chemical_formula_sum 'La4 V2 W2'
_symmetry_space_group_name_H-M 'P 1'
_symmetry_Int_Tables_number 1
_cell_length_a 8.127
_cell_length_b 8.127
_cell_length_c 6.502
_cell_angle_alpha 51.32
_cell_angle_beta 51.32
_cell_angle_gamma 90.00
loop_
_symmetry_equiv_pos_as_xyz
'x,y,z'
loop_
_atom_site_label
_atom_site_type_symbol
_atom_site_fract_x
_atom_site_fract_y
_atom_site_fract_z
La1 La 0.628 0.125 0.250
La2 La 0.122 0.625 0.250
La3 La 0.375 0.372 0.750
La4 La 0.875 0.878 0.750
W1 W 0.000 0.000 0.000
W2 W 0.750 0.250 0.500
V1 V 0.500 0.500 0.000
V2 V 0.250 0.750 0.500
```

## Properties
DFT formation energy	107.43	kJ/mol of atoms
energy above the most stable polymorph in this dataset	358	meV per atom

***

A plane-wave DFT calculation with PBE was carried out for LiNiPS2 after structural relaxation.

CIF file:
```
data_LiNiPS2
_chemical_formula_sum 'Li1 Ni1 P1 S2'
_symmetry_space_group_name_H-M 'P 1'
_symmetry_Int_Tables_number 1
_cell_length_a 4.748
_cell_length_b 4.748
_cell_length_c 4.125
_cell_angle_alpha 90.00
_cell_angle_beta 90.00
_cell_angle_gamma 90.00
loop_
_symmetry_equiv_pos_as_xyz
'x,y,z'
loop_
_atom_site_label
_atom_site_type_symbol
_atom_site_fract_x
_atom_site_fract_y
_atom_site_fract_z
Ni1 Ni 0.000 0.000 0.000
S1 S 0.000 0.500 0.000
S2 S 0.500 0.000 0.000
Li1 Li 0.500 0.500 0.500
P1 P 0.000 0.000 0.500
```

## Properties
energy above the most stable polymorph in this dataset	0	meV per atom

***

Question: What is the formula in the fourth record?
Answer: La2VW

***

Please write out number 5 again, unchanged.
A plane-wave DFT calculation with PBE was carried out for LiNiPS2 after structural relaxation.

CIF file:
```
data_LiNiPS2
_chemical_formula_sum 'Li1 Ni1 P1 S2'
_symmetry_space_group_name_H-M 'P 1'
_symmetry_Int_Tables_number 1
_cell_length_a 4.748
_cell_length_b 4.748
_cell_length_c 4.125
_cell_angle_alpha 90.00
_cell_angle_beta 90.00
_cell_angle_gamma 90.00
loop_
_symmetry_equiv_pos_as_xyz
'x,y,z'
loop_
_atom_site_label
_atom_site_type_symbol
_atom_site_fract_x
_atom_site_fract_y
_atom_site_fract_z
Ni1 Ni 0.000 0.000 0.000
S1 S 0.000 0.500 0.000
S2 S 0.500 0.000 0.000
Li1 Li 0.500 0.500 0.500
P1 P 0.000 0.000 0.500
```

## Properties
energy above the most stable polymorph in this dataset	0	meV per atom